! TaNbSe GGA-PBE relaxed; values from VASP
! - V (Å³ per cell) = 118
! - energy above the lowest structure with this stoichiometry (meV per atom) = 0
! - SG = P4/nmm
! - total magnetization (μB per formula unit) = 0.0
! - formation energy from raw total energies (eV/atom) = -0.524
&SYSTEM
  ibrav = 0, nat = 6, ntyp = 3
/
ATOMIC_SPECIES
Ta 180.95 Ta.upf
Nb 92.91 Nb.upf
Se 78.96 Se.upf
CELL_PARAMETERS angstrom
3.3966 0.0000 0.0000
0.0000 3.3966 0.0000
0.0000 0.0000 10.2054
ATOMIC_POSITIONS crystal
Ta 0.2500 0.2500 0.0752
Ta 0.7500 0.7500 0.9248
Nb 0.2500 0.2500 0.7618
Nb 0.7500 0.7500 0.2382
Se 0.2500 0.2500 0.3561
Se 0.7500 0.7500 0.6439